Record 1
Material: TcBSe2
Method: DFT, PBE
State: relaxed

Results
magnetic moment: 0.00 μB per atom
E_form (uncorrected): 703 meV/atom

Geometry as CIF:
```
data_TcBSe2
_cell_length_a 7.641
_cell_length_b 7.641
_cell_length_c 7.641
_cell_angle_alpha 23.60
_cell_angle_beta 23.60
_cell_angle_gamma 23.60
_space_group_name_H-M_alt 'P 1'
_space_group_IT_number 1
loop_
_space_group_symop_operation_xyz
'x,y,z'
loop_
_atom_site_label
_atom_site_type_symbol
_atom_site_fract_x
_atom_site_fract_y
_atom_site_fract_z
Se1 Se 0.107 0.107 0.107
Se2 Se 0.893 0.893 0.893
Tc1 Tc 0.000 0.000 0.000
B1 B 0.500 0.500 0.500
```

=====

Record 2
Material: TcB2Se
Method: DFT, PBE
State: relaxed

Results
magnetic moment: 0.23 μB per atom
E_form (uncorrected): 680 meV/atom

Geometry as CIF:
```
data_TcB2Se
_cell_length_a 4.972
_cell_length_b 4.972
_cell_length_c 5.843
_cell_angle_alpha 64.82
_cell_angle_beta 64.82
_cell_angle_gamma 90.00
_space_group_name_H-M_alt 'P 1'
_space_group_IT_number 1
loop_
_space_group_symop_operation_xyz
'x,y,z'
loop_
_atom_site_label
_atom_site_type_symbol
_atom_site_fract_x
_atom_site_fract_y
_atom_site_fract_z
Tc1 Tc 0.750 0.250 0.500
Tc2 Tc 0.000 0.000 0.000
B1 B 0.118 0.625 0.250
B2 B 0.632 0.125 0.250
B3 B 0.875 0.882 0.750
B4 B 0.375 0.368 0.750
Se1 Se 0.250 0.750 0.500
Se2 Se 0.500 0.500 0.000
```

=====

Record 3
Material: TcBSe2
Method: DFT, PBE
State: relaxed

Results
magnetic moment: 0.00 μB per atom
E_form (uncorrected): 366 meV/atom

Geometry as CIF:
```
data_TcBSe2
_cell_length_a 5.382
_cell_length_b 5.382
_cell_length_c 6.099
_cell_angle_alpha 63.82
_cell_angle_beta 63.82
_cell_angle_gamma 90.00
_space_group_name_H-M_alt 'P 1'
_space_group_IT_number 1
loop_
_space_group_symop_operation_xyz
'x,y,z'
loop_
_atom_site_label
_atom_site_type_symbol
_atom_site_fract_x
_atom_site_fract_y
_atom_site_fract_z
Se1 Se 0.875 0.823 0.750
Se2 Se 0.177 0.625 0.250
Se3 Se 0.573 0.125 0.250
Se4 Se 0.375 0.427 0.750
Tc1 Tc 0.750 0.250 0.500
Tc2 Tc 0.000 0.000 0.000
B1 B 0.500 0.500 0.000
B2 B 0.250 0.750 0.500
```

=====

Record 4
Material: TcBSe2
Method: DFT, PBE
State: relaxed

Results
magnetic moment: 0.13 μB per atom
E_form (uncorrected): 657 meV/atom

Geometry as CIF:
```
data_TcBSe2
_cell_length_a 7.108
_cell_length_b 7.108
_cell_length_c 7.108
_cell_angle_alpha 28.92
_cell_angle_beta 28.92
_cell_angle_gamma 28.92
_space_group_name_H-M_alt 'P 1'
_space_group_IT_number 1
loop_
_space_group_symop_operation_xyz
'x,y,z'
loop_
_atom_site_label
_atom_site_type_symbol
_atom_site_fract_x
_atom_site_fract_y
_atom_site_fract_z
Se1 Se 0.908 0.908 0.908
Se2 Se 0.092 0.092 0.092
B1 B 0.000 0.000 0.000
Tc1 Tc 0.500 0.500 0.500
```

=====

Record 5
Material: TcBSe2
Method: DFT, PBE
State: relaxed

Results
magnetic moment: 0.00 μB per atom
E_form (uncorrected): 924 meV/atom

Geometry as CIF:
```
data_TcBSe2
_cell_length_a 4.372
_cell_length_b 4.372
_cell_length_c 4.372
_cell_angle_alpha 60.00
_cell_angle_beta 60.00
_cell_angle_gamma 60.00
_space_group_name_H-M_alt 'P 1'
_space_group_IT_number 1
loop_
_space_group_symop_operation_xyz
'x,y,z'
loop_
_atom_site_label
_atom_site_type_symbol
_atom_site_fract_x
_atom_site_fract_y
_atom_site_fract_z
B1 B 0.000 0.000 0.000
Se1 Se 0.750 0.750 0.750
Se2 Se 0.250 0.250 0.250
Tc1 Tc 0.500 0.500 0.500
```

=====

Record 6
Material: TlTcBSe2
Method: DFT, PBE
State: relaxed

Results
magnetic moment: 0.79 μB per atom
E_form (uncorrected): 2153 meV/atom

Geometry as CIF:
```
data_TlTcBSe2
_cell_length_a 5.430
_cell_length_b 5.322
_cell_length_c 5.430
_cell_angle_alpha 90.00
_cell_angle_beta 90.00
_cell_angle_gamma 90.00
_space_group_name_H-M_alt 'P 1'
_space_group_IT_number 1
loop_
_space_group_symop_operation_xyz
'x,y,z'
loop_
_atom_site_label
_atom_site_type_symbol
_atom_site_fract_x
_atom_site_fract_y
_atom_site_fract_z
B1 B 0.500 0.500 0.500
Se1 Se 0.500 0.000 0.000
Se2 Se 0.000 0.000 0.500
Tl1 Tl 0.000 0.000 0.000
Tc1 Tc 0.000 0.500 0.000
```